Entry 1:
Computed, not measured: a geometry-optimized Na2TlSn9 structure at the PBE-GGA level of DFT.

Geometry as POSCAR:
```
Na2TlSn9
1.0
-1.600 -1.514 4.165
3.752 -2.819 0.416
7.403 10.853 6.790
Na Tl Sn
2 1 9
direct
0.000 0.000 0.337 Na
0.000 0.000 0.663 Na
0.000 0.000 0.000 Tl
0.500 0.500 0.000 Sn
0.500 0.500 0.338 Sn
0.500 0.500 0.662 Sn
0.500 0.000 0.173 Sn
0.500 0.000 0.500 Sn
0.500 0.000 0.827 Sn
0.000 0.500 0.173 Sn
0.000 0.500 0.500 Sn
0.000 0.500 0.827 Sn
```

Output
Space group: P4/mmm (123)
Formation energy: -0.04 eV/atom

=====

Entry 2:
Computed, not measured: a geometry-optimized Na4Tl5Sn structure at the PBE-GGA level of DFT.

Geometry as POSCAR:
```
Na4Tl5Sn
1.0
-2.068 -3.774 -2.044
2.575 4.419 -10.762
4.819 -2.905 6.040
Na Tl Sn
4 5 1
direct
0.395 0.161 0.789 Na
0.136 0.326 0.271 Na
0.605 0.839 0.211 Na
0.864 0.674 0.729 Na
0.803 0.328 0.605 Tl
0.850 0.947 0.700 Tl
0.150 0.053 0.300 Tl
0.500 0.500 0.000 Tl
0.197 0.672 0.394 Tl
0.500 0.000 0.000 Sn
```

Output
Space group: C2/m (12)
Formation energy: -0.03 eV/atom
Relative energy among the computed polymorphs: 0.56 eV per formula unit

=====

Entry 3:
Computed, not measured: a geometry-optimized Na6TlSn structure at the PBE-GGA level of DFT.

Geometry as POSCAR:
```
Na6TlSn
1.0
5.630 0.000 0.000
0.000 5.805 0.000
0.000 0.000 7.207
Na Tl Sn
6 1 1
direct
0.500 0.810 0.262 Na
0.000 0.193 0.743 Na
0.000 0.193 0.257 Na
0.500 0.810 0.738 Na
0.000 0.654 0.500 Na
0.500 0.330 0.000 Na
0.000 0.700 0.000 Tl
0.500 0.308 0.500 Sn
```

Output
Space group: Pmm2 (25)
Formation energy: -0.10 eV/atom
Relative energy among the computed polymorphs: 0.00 eV per formula unit

=====

Entry 4:
Computed, not measured: a geometry-optimized Na5TlSn3 structure at the PBE-GGA level of DFT.

Geometry as POSCAR:
```
Na5TlSn3
1.0
-5.335 11.607 -5.137
1.765 -2.147 -6.685
-9.117 -5.831 -3.707
Na Tl Sn
20 4 12
direct
0.892 0.629 0.029 Na
0.392 0.371 0.471 Na
0.108 0.371 0.971 Na
0.608 0.629 0.529 Na
0.812 0.556 0.373 Na
0.312 0.444 0.127 Na
0.188 0.444 0.627 Na
0.688 0.556 0.873 Na
0.049 0.343 0.335 Na
0.549 0.657 0.165 Na
0.951 0.657 0.665 Na
0.451 0.343 0.835 Na
0.811 0.055 0.470 Na
0.311 0.945 0.030 Na
0.189 0.945 0.530 Na
0.689 0.055 0.970 Na
0.588 0.043 0.655 Na
0.088 0.957 0.845 Na
0.412 0.957 0.345 Na
0.912 0.043 0.155 Na
0.521 0.220 0.113 Tl
0.021 0.780 0.387 Tl
0.479 0.780 0.887 Tl
0.979 0.220 0.613 Tl
0.734 0.340 0.170 Sn
0.234 0.660 0.330 Sn
0.266 0.660 0.830 Sn
0.766 0.340 0.670 Sn
0.593 0.266 0.371 Sn
0.093 0.734 0.129 Sn
0.407 0.734 0.629 Sn
0.907 0.266 0.871 Sn
0.170 0.062 0.219 Sn
0.670 0.938 0.281 Sn
0.830 0.938 0.781 Sn
0.330 0.062 0.719 Sn
```

Output
Space group: P2_1/c (14)
Formation energy: -0.19 eV/atom

=====

Entry 5:
Computed, not measured: a geometry-optimized Na3Tl2Sn5 structure at the PBE-GGA level of DFT.

Geometry as POSCAR:
```
Na3Tl2Sn5
1.0
-2.463 5.720 -7.190
-9.650 -2.251 1.515
5.522 3.464 7.157
Na Tl Sn
6 4 10
direct
0.250 0.000 0.000 Na
0.750 0.000 0.000 Na
0.630 0.413 0.260 Na
0.370 0.587 0.740 Na
0.130 0.847 0.260 Na
0.870 0.153 0.740 Na
0.862 0.813 0.724 Tl
0.138 0.187 0.276 Tl
0.362 0.911 0.724 Tl
0.638 0.089 0.276 Tl
0.250 0.500 0.000 Sn
0.750 0.500 0.000 Sn
0.978 0.728 0.456 Sn
0.522 0.272 0.544 Sn
0.022 0.272 0.544 Sn
0.478 0.728 0.456 Sn
0.875 0.520 0.749 Sn
0.125 0.480 0.251 Sn
0.375 0.229 0.749 Sn
0.625 0.771 0.251 Sn
```

Output
Space group: Ibam (72)
Formation energy: 0.01 eV/atom

=====

Entry 6:
Computed, not measured: a geometry-optimized Na2TlSn structure at the PBE-GGA level of DFT.

Geometry as POSCAR:
```
Na2TlSn
1.0
-5.109 0.886 0.235
-3.059 -3.159 2.759
1.376 5.783 8.147
Na Tl Sn
4 2 2
direct
0.667 0.667 0.948 Na
0.333 0.333 0.052 Na
0.667 0.667 0.604 Na
0.333 0.333 0.396 Na
0.667 0.667 0.278 Tl
0.333 0.333 0.722 Tl
0.000 0.000 0.844 Sn
0.000 0.000 0.156 Sn
```

Output
Space group: P-3m1 (164)
Formation energy: -0.12 eV/atom

=====

Entry 7:
Computed, not measured: a geometry-optimized Na4Tl3Sn4 structure at the PBE-GGA level of DFT.

Geometry as POSCAR:
```
Na4Tl3Sn4
1.0
3.441 -0.002 -0.290
-0.048 4.850 -0.606
-0.128 -0.116 18.662
Na Tl Sn
4 3 4
direct
0.091 0.089 0.180 Na
0.274 0.275 0.549 Na
0.726 0.725 0.451 Na
0.909 0.911 0.820 Na
0.636 0.636 0.273 Tl
0.364 0.364 0.727 Tl
0.000 0.000 0.000 Tl
0.544 0.543 0.087 Sn
0.456 0.457 0.913 Sn
0.819 0.818 0.637 Sn
0.181 0.182 0.363 Sn
```

Output
Space group: P-1 (2)
Formation energy: -0.08 eV/atom

=====

Entry 8:
Computed, not measured: a geometry-optimized Na8TlSn2 structure at the PBE-GGA level of DFT.

Geometry as POSCAR:
```
Na8TlSn2
1.0
-3.533 1.210 -4.421
-7.328 -0.333 4.149
0.064 8.403 0.633
Na Tl Sn
8 1 2
direct
0.778 0.140 0.662 Na
0.222 0.338 0.860 Na
0.874 0.268 0.268 Na
0.126 0.732 0.732 Na
0.778 0.662 0.140 Na
0.222 0.860 0.338 Na
0.298 0.410 0.410 Na
0.702 0.590 0.590 Na
0.000 0.000 0.000 Tl
0.452 0.128 0.128 Sn
0.548 0.872 0.872 Sn
```

Output
Space group: C2/m (12)
Formation energy: 0.03 eV/atom
Relative energy among the computed polymorphs: 1.03 eV per formula unit

=====

Entry 9:
Computed, not measured: a geometry-optimized NaTl2Sn structure at the PBE-GGA level of DFT.

Geometry as POSCAR:
```
NaTl2Sn
1.0
4.014 0.000 0.000
0.000 4.014 0.000
0.000 0.000 7.149
Na Tl Sn
1 2 1
direct
0.500 0.500 0.500 Na
0.000 0.000 0.759 Tl
0.000 0.000 0.241 Tl
0.500 0.500 0.000 Sn
```

Output
Space group: P4/mmm (123)
Formation energy: -0.07 eV/atom

=====

Entry 10:
Computed, not measured: a geometry-optimized NaTl2Sn structure at the PBE-GGA level of DFT.

Geometry as POSCAR:
```
NaTl2Sn
1.0
-1.204 3.764 2.546
-1.230 -2.806 3.566
9.079 1.060 7.064
Na Tl Sn
2 4 2
direct
0.500 0.500 0.000 Na
0.250 0.750 0.500 Na
0.623 0.125 0.250 Tl
0.127 0.625 0.250 Tl
0.375 0.377 0.750 Tl
0.875 0.873 0.750 Tl
0.000 0.000 0.000 Sn
0.750 0.250 0.500 Sn
```

Output
Space group: I-42d (122)
Formation energy: 0.06 eV/atom

=====

Entry 11:
Computed, not measured: a geometry-optimized NaTl12Sn7 structure at the PBE-GGA level of DFT.

Geometry as POSCAR:
```
NaTl12Sn7
1.0
10.154 0.000 3.558
-4.709 6.937 2.594
0.736 0.000 8.745
Na Tl Sn
1 12 7
direct
0.000 0.000 0.000 Na
0.503 0.263 0.260 Tl
0.237 0.740 0.523 Tl
0.333 0.251 0.006 Tl
0.662 0.994 0.257 Tl
0.760 0.523 0.737 Tl
0.919 0.257 0.749 Tl
0.081 0.743 0.251 Tl
0.240 0.477 0.263 Tl
0.338 0.006 0.743 Tl
0.667 0.749 0.994 Tl
0.763 0.260 0.477 Tl
0.497 0.737 0.740 Tl
0.083 0.394 0.005 Sn
0.912 0.995 0.399 Sn
0.311 0.399 0.606 Sn
0.500 0.000 0.000 Sn
0.689 0.601 0.394 Sn
0.088 0.005 0.601 Sn
0.917 0.606 0.995 Sn
```

Output
Space group: R-3 (148)
Formation energy: 0.02 eV/atom

=====

Entry 12:
Computed, not measured: a geometry-optimized Na2Tl3Sn4 structure at the PBE-GGA level of DFT.

Geometry as POSCAR:
```
Na2Tl3Sn4
1.0
4.767 0.000 1.020
2.190 5.674 1.415
0.472 -0.098 9.442
Na Tl Sn
2 3 4
direct
0.339 0.104 0.218 Na
0.661 0.896 0.782 Na
0.331 0.781 0.558 Tl
0.000 0.000 0.000 Tl
0.669 0.219 0.442 Tl
0.666 0.551 0.116 Sn
0.992 0.351 0.666 Sn
0.008 0.649 0.334 Sn
0.334 0.449 0.884 Sn
```

Output
Space group: C2/m (12)
Formation energy: -0.08 eV/atom

=====

| no. | DFT total energy (eV/atom) |
| --- | --- |
| 1 | -3.46 |
| 2 | -2.14 |
| 3 | -1.89 |
| 4 | -2.52 |
| 5 | -2.86 |
| 6 | -2.37 |
| 7 | -2.66 |
| 8 | -1.87 |
| 9 | -2.58 |
| 10 | -2.45 |
| 11 | -2.87 |
| 12 | -2.94 |